[1]
Material: TcSnSb2
Method: DFT, GGA-PBE
State: optimized geometry

Properties
For the calculated total energy, the calculation gives -0.409 Ry per atom. The value obtained for the formation energy from raw total energies is 95 meV/atom. The calculation puts the density of states at the Fermi level at 4.88 states/eV per cell. Its crystal system is orthorhombic.

Cell and atoms, written as extended XYZ:
```
8
Lattice="2.181 -4.877 0.000 2.181 4.877 0.000 0.000 0.000 8.495" Properties=species:S:1:pos:R:3 pbc="T T T"
Tc 2.181 2.690 6.372
Tc 2.181 -2.690 2.124
Sn 2.181 4.189 2.124
Sn 2.181 -4.189 6.372
Sb 2.181 1.416 0.415
Sb 2.181 1.416 3.833
Sb 2.181 -1.416 4.663
Sb 2.181 -1.416 8.080
```

=====

[2]
Material: Cs6Br3OF2
Method: DFT, GGA-PBE
State: optimized geometry

Properties
For the calculated total energy, the calculation gives -0.251 Ry per atom. The value obtained for the formation energy from raw total energies is -1838 meV/atom. Its crystal system is monoclinic.

Cell and atoms, written as extended XYZ:
```
12
Lattice="4.112 -7.128 0.000 4.112 7.128 0.000 -2.730 0.000 7.916" Properties=species:S:1:pos:R:3 pbc="T T T"
Cs -0.017 2.421 6.282
Cs 1.327 0.000 1.613
Cs -0.017 -2.421 6.282
Cs 5.511 2.421 1.634
Cs 4.167 0.000 6.303
Cs 5.511 -2.421 1.634
Br -1.365 0.000 3.958
Br 2.747 2.331 3.958
Br 2.747 -2.331 3.958
O 4.112 0.000 0.000
F 4.112 4.743 0.000
F 4.112 -4.743 0.000
```

=====

[3]
Material: V7Fe6Pt16
Method: DFT, GGA-PBE
State: optimized geometry

Properties
For the calculated total energy, the calculation gives -0.549 Ry per atom. The value obtained for the energy relative to the elements is -0.1908 eV per atom. The calculation puts the density of states at the Fermi level at 20.57 states/eV per cell. Its crystal system is cubic.

Cell and atoms, written as extended XYZ:
```
29
Lattice="0.000 6.092 6.092 6.092 0.000 6.092 6.092 6.092 0.000" Properties=species:S:1:pos:R:3 pbc="T T T"
V 0.000 0.000 0.000
V 3.046 3.046 0.000
V 3.046 0.000 3.046
V 6.092 3.046 3.046
V 0.000 3.046 3.046
V 3.046 6.092 3.046
V 3.046 3.046 6.092
Fe 6.092 6.092 4.204
Fe 6.092 4.204 6.092
Fe 7.979 6.092 6.092
Fe 4.204 6.092 6.092
Fe 6.092 7.979 6.092
Fe 6.092 6.092 7.979
Pt 8.001 4.183 4.183
Pt 1.454 1.454 1.454
Pt 4.638 4.638 1.454
Pt 4.638 1.454 4.638
Pt 4.183 4.183 4.183
Pt 8.001 8.001 4.183
Pt 8.001 4.183 8.001
Pt 10.730 7.546 7.546
Pt 1.454 4.638 4.638
Pt 4.183 8.001 4.183
Pt 4.183 4.183 8.001
Pt 8.001 8.001 8.001
Pt 7.546 10.730 7.546
Pt 7.546 7.546 10.730
Pt 10.730 10.730 10.730
Pt 4.183 8.001 8.001
```

=====

[4]
Material: HfICl3
Method: DFT, GGA-PBE
State: optimized geometry

Properties
For the calculated total energy, the calculation gives -0.321 Ry per atom. The value obtained for the formation energy from raw total energies is -962 meV/atom. The calculation puts the energy above the most stable polymorph in this dataset at 565 meV per atom. The calculation puts the density of states at the Fermi level at 7.93 states/eV per cell. Its crystal system is cubic.

Cell and atoms, written as extended XYZ:
```
5
Lattice="5.054 0.000 0.000 0.000 5.054 0.000 0.000 0.000 5.054" Properties=species:S:1:pos:R:3 pbc="T T T"
Hf 0.000 0.000 0.000
I 2.527 2.527 2.527
Cl 0.000 0.000 2.527
Cl 0.000 2.527 0.000
Cl 2.527 0.000 0.000
```